The following is a GGA-PBE calculation of crystalline USnRuRh at its relaxed geometry, from Alexandria via LeMat-Bulk.

Summary:
M_tot in μB/atom: 0.571
Theoretical density in Mg/m³: 12.49
DFT formation energy in eV/f.u.: -1.332
Fermi-level density of states in states/eV/cell: 26.12

Structure (CIF):
```
data_USnRuRh
_cell_length_a 6.6803
_cell_length_b 6.6803
_cell_length_c 6.6803
_cell_angle_alpha 90.00
_cell_angle_beta 90.00
_cell_angle_gamma 90.00
_space_group_name_H-M_alt 'F -4 3 m'
_space_group_IT_number 216
_space_group_name_Hall 'F -4 2 3'
loop_
_atom_site_label
_atom_site_fract_x
_atom_site_fract_y
_atom_site_fract_z
_atom_site_occupancy
U1 0.0000 0.0000 0.0000 1
Sn1 0.0000 0.0000 0.5000 1
Ru1 0.2500 0.2500 0.2500 1
Rh1 0.2500 0.2500 0.7500 1
```


The following is a GGA-PBE calculation of crystalline Ca2TlBi2 at its relaxed geometry, from Alexandria via LeMat-Bulk.

Summary:
M_tot in μB/atom: 0.000
Theoretical density in Mg/m³: 6.05
DFT formation energy in eV/f.u.: -1.834
Fermi-level density of states in states/eV/cell: 7.15
Relative energy among the computed polymorphs in meV/atom: 187

Structure (CIF):
```
data_Ca2TlBi2
_cell_length_a 5.5680
_cell_length_b 5.5680
_cell_length_c 12.4300
_cell_angle_alpha 90.00
_cell_angle_beta 90.00
_cell_angle_gamma 90.00
_space_group_name_H-M_alt 'I 4/m m m'
_space_group_IT_number 139
_space_group_name_Hall '-I 4 2'
loop_
_atom_site_label
_atom_site_fract_x
_atom_site_fract_y
_atom_site_fract_z
_atom_site_occupancy
Ca1 0.0000 0.5000 0.2500 1
Tl1 0.0000 0.0000 0.0000 1
Bi1 0.0000 0.0000 0.3748 1
```


The following is a GGA-PBE calculation of crystalline Rb2MnI5 at its relaxed geometry, from Alexandria via LeMat-Bulk.

Summary:
M_tot in μB/atom: 0.500
Theoretical density in Mg/m³: 3.82
Formation energy (no corrections) in kJ per mole of atoms: -89.1

Structure (CIF):
```
data_Rb2MnI5
_cell_length_a 8.5058
_cell_length_b 8.5058
_cell_length_c 10.3440
_cell_angle_alpha 90.00
_cell_angle_beta 90.00
_cell_angle_gamma 90.00
_space_group_name_H-M_alt 'I 4 m m'
_space_group_IT_number 107
_space_group_name_Hall 'I 4 -2'
loop_
_atom_site_label
_atom_site_fract_x
_atom_site_fract_y
_atom_site_fract_z
_atom_site_occupancy
Rb1 0.0000 0.5000 0.0000 1
Mn1 0.0000 0.0000 0.2060 1
I1 0.0000 0.0000 0.9463 1
I2 0.2215 0.2215 0.2540 1
```


The following is a GGA-PBE calculation of crystalline LiCdRh2 at its relaxed geometry, from Alexandria via LeMat-Bulk.

Summary:
M_tot in μB/atom: 0.000
Theoretical density in Mg/m³: 8.77
DFT formation energy in eV/f.u.: -0.409
Fermi-level density of states in states/eV/cell: 6.94

Structure (CIF):
```
data_LiCdRh2
_cell_length_a 9.1274
_cell_length_b 2.8323
_cell_length_c 4.8347
_cell_angle_alpha 90.00
_cell_angle_beta 99.72
_cell_angle_gamma 90.00
_space_group_name_H-M_alt 'C 1 m 1'
_space_group_IT_number 8
_space_group_name_Hall 'C -2y'
loop_
_atom_site_label
_atom_site_fract_x
_atom_site_fract_y
_atom_site_fract_z
_atom_site_occupancy
Li1 0.0000 0.0000 0.0000 1
Cd1 0.2582 0.5000 0.2192 1
Rh1 0.0080 0.5000 0.5375 1
Rh2 0.2476 0.0000 0.7142 1
```